(1)
{
  "formula": "SbBr",
  "functional": "PBE",
  "state": "optimized geometry",
  "cell": [[7.328, -1.969, 0.000], [7.328, 1.969, 0.000], [-0.821, 0.000, 8.279]],
  "species": ["Sb", "Sb", "Sb", "Br", "Br", "Br"],
  "fractional_positions": [[0.000, 0.000, 0.000], [0.546, 0.546, 0.762], [0.647, 0.647, 0.178], [0.124, 0.124, 0.436], [0.279, 0.279, 0.083], [0.388, 0.388, 0.606]],
  "space_group": "No. 8",
  "relative_energy_mev_per_atom": 106,
  "raw_formation_energy_kj_per_mol_atoms": -20.13,
  "density_g_cm3": 4.2
}

(2)
{
  "formula": "Sb5Br",
  "functional": "PBE",
  "state": "optimized geometry",
  "cell": [[2.144, -7.089, 0.000], [2.144, 7.089, 0.000], [0.000, 0.000, 6.113]],
  "species": ["Sb", "Sb", "Sb", "Sb", "Sb", "Br"],
  "fractional_positions": [[0.000, 0.000, 0.000], [0.318, 0.682, 0.500], [0.335, 0.665, 0.000], [0.665, 0.335, 0.000], [0.682, 0.318, 0.500], [0.000, 0.000, 0.500]],
  "space_group": "No. 65",
  "relative_energy_mev_per_atom": 0,
  "raw_formation_energy_kj_per_mol_atoms": -1.45,
  "density_g_cm3": 6.2,
  "dos_at_fermi_per_ev_atom": 0.39
}